TbPm12Y7: optimized geometry, GGA-PBE.

Properties
DFT total energy in eV for the cell shown: -101.1
DFT formation energy in eV per formula unit: 5.8
Symmetry: R-3, No. 148

Unit cell a=11.1113 b=11.1113 c=11.1113 alpha=115.94 beta=115.94 gamma=115.94
Sites, in units of the cell vectors:
Tb (0.0000, 0.0000, 0.0000)
Pm (0.0682, 0.4922, 0.2812)
Pm (0.2086, 0.2721, 0.7486)
Pm (0.2514, 0.7914, 0.7279)
Pm (0.2721, 0.7486, 0.2086)
Pm (0.2812, 0.0682, 0.4922)
Pm (0.4922, 0.2812, 0.0682)
Pm (0.5078, 0.7188, 0.9318)
Pm (0.7188, 0.9318, 0.5078)
Pm (0.7279, 0.2514, 0.7914)
Pm (0.7486, 0.2086, 0.2721)
Pm (0.7914, 0.7279, 0.2514)
Pm (0.9318, 0.5078, 0.7188)
Y (0.0774, 0.2197, 0.3807)
Y (0.2197, 0.3807, 0.0774)
Y (0.3807, 0.0774, 0.2197)
Y (0.5000, 0.5000, 0.5000)
Y (0.6193, 0.9226, 0.7803)
Y (0.7803, 0.6193, 0.9226)
Y (0.9226, 0.7803, 0.6193)

***

Tb12Pm6Y: optimized geometry, GGA-PBE.

Properties
DFT total energy in eV for the cell shown: -87.2
DFT formation energy in eV per formula unit: 3.3
Symmetry: R-3, No. 148

Unit cell a=8.6123 b=8.6123 c=8.6123 alpha=91.57 beta=91.57 gamma=91.57
Sites, in units of the cell vectors:
Tb (0.0276, 0.2912, 0.9671)
Tb (0.0329, 0.9724, 0.7088)
Tb (0.1210, 0.3585, 0.4345)
Tb (0.2912, 0.9671, 0.0276)
Tb (0.3585, 0.4345, 0.1210)
Tb (0.4345, 0.1210, 0.3585)
Tb (0.5655, 0.8790, 0.6415)
Tb (0.6415, 0.5655, 0.8790)
Tb (0.7088, 0.0329, 0.9724)
Tb (0.8790, 0.6415, 0.5655)
Tb (0.9671, 0.0276, 0.2912)
Tb (0.9724, 0.7088, 0.0329)
Pm (0.2251, 0.7562, 0.3659)
Pm (0.2438, 0.6341, 0.7749)
Pm (0.3659, 0.2251, 0.7562)
Pm (0.6341, 0.7749, 0.2438)
Pm (0.7562, 0.3659, 0.2251)
Pm (0.7749, 0.2438, 0.6341)
Y (0.5000, 0.5000, 0.5000)

***

TbPm7Y12: optimized geometry, GGA-PBE.

Properties
DFT total energy in eV for the cell shown: -102.7
DFT formation energy in eV per formula unit: 12.7
Symmetry: Im-3m, No. 229

Unit cell a=9.8078 b=9.8078 c=9.8078 alpha=109.47 beta=109.47 gamma=109.47
Sites, in units of the cell vectors:
Tb (0.0000, 0.0000, 0.0000)
Pm (0.0000, 0.0000, 0.5000)
Pm (0.0000, 0.5000, 0.0000)
Pm (0.0000, 0.5000, 0.5000)
Pm (0.5000, 0.0000, 0.0000)
Pm (0.5000, 0.0000, 0.5000)
Pm (0.5000, 0.5000, 0.0000)
Pm (0.5000, 0.5000, 0.5000)
Y (0.0000, 0.2483, 0.7517)
Y (0.0000, 0.7517, 0.2483)
Y (0.2483, 0.0000, 0.7517)
Y (0.2483, 0.2483, 0.4965)
Y (0.2483, 0.4965, 0.2483)
Y (0.2483, 0.7517, 0.0000)
Y (0.4965, 0.2483, 0.2483)
Y (0.5035, 0.7517, 0.7517)
Y (0.7517, 0.0000, 0.2483)
Y (0.7517, 0.2483, 0.0000)
Y (0.7517, 0.5035, 0.7517)
Y (0.7517, 0.7517, 0.5035)

***

Tb3Pm3Y2: optimized geometry, GGA-PBE.

Properties
DFT total energy in eV for the cell shown: -81.9
DFT formation energy in eV per formula unit: 0.1
Symmetry: Immm, No. 71

Unit cell a=5.0863 b=5.0884 c=20.3503 alpha=90.00 beta=90.00 gamma=90.00
Sites, in units of the cell vectors:
Tb (0.0000, 0.0000, 0.0000)
Tb (0.0000, 0.5000, 0.1255)
Tb (0.0000, 0.5000, 0.8745)
Tb (0.5000, 0.0000, 0.3745)
Tb (0.5000, 0.0000, 0.6255)
Tb (0.5000, 0.5000, 0.5000)
Pm (0.0000, 0.0000, 0.5000)
Pm (0.0000, 0.5000, 0.3752)
Pm (0.0000, 0.5000, 0.6248)
Pm (0.5000, 0.0000, 0.1248)
Pm (0.5000, 0.0000, 0.8752)
Pm (0.5000, 0.5000, 0.0000)
Y (0.0000, 0.0000, 0.2504)
Y (0.0000, 0.0000, 0.7496)
Y (0.5000, 0.5000, 0.2496)
Y (0.5000, 0.5000, 0.7504)

***

TbPm3Y4: optimized geometry, GGA-PBE.

Properties
DFT total energy in eV for the cell shown: -89.2
DFT formation energy in eV per formula unit: 0.1
Symmetry: Pmn2_1, No. 31

Unit cell a=11.4902 b=7.3432 c=6.3433 alpha=90.00 beta=90.00 gamma=90.00
Sites, in units of the cell vectors:
Tb (0.0000, 0.1265, 0.0000)
Tb (0.5000, 0.8735, 0.5000)
Pm (0.0000, 0.8747, 0.5015)
Pm (0.2498, 0.1251, 0.3309)
Pm (0.2502, 0.8749, 0.8309)
Pm (0.5000, 0.1253, 0.0015)
Pm (0.7502, 0.1251, 0.3309)
Pm (0.7498, 0.8749, 0.8309)
Y (0.0000, 0.3766, 0.4977)
Y (0.0000, 0.6244, 0.9983)
Y (0.2489, 0.3760, 0.8337)
Y (0.2511, 0.6240, 0.3337)
Y (0.5000, 0.3756, 0.4983)
Y (0.5000, 0.6234, 0.9977)
Y (0.7489, 0.6240, 0.3337)
Y (0.7511, 0.3760, 0.8337)

***

Tb5Pm5Y: optimized geometry, GGA-PBE.

Properties
DFT total energy in eV for the cell shown: -50.1
DFT formation energy in eV per formula unit: 3.2
Symmetry: P-6m2, No. 187

Unit cell a=6.1401 b=6.1401 c=11.6771 alpha=90.00 beta=90.00 gamma=120.00
Sites, in units of the cell vectors:
Tb (0.0000, 0.0000, 0.2348)
Tb (0.0000, 0.0000, 0.7652)
Tb (0.3351, 0.1675, 0.0000)
Tb (0.8325, 0.1675, 0.0000)
Tb (0.8325, 0.6649, 0.0000)
Pm (0.0000, 0.0000, 0.5000)
Pm (0.3333, 0.6667, 0.1823)
Pm (0.3333, 0.6667, 0.8177)
Pm (0.6667, 0.3333, 0.3443)
Pm (0.6667, 0.3333, 0.6557)
Y (0.3333, 0.6667, 0.5000)